KIn (PBEsol, optimized geometry); magnetic moment = 0.0 μB/cell; ΔH_f (0 K) = -0.04 eV per atom; raw total energy = -2.10 eV/atom
1.0
6.7826 -1.9167 0.0000
6.7826 1.9167 0.0000
-2.6681 0.0000 5.5292
K In
2 2
Cartesian
0.4119 0.0000 1.9083 K
10.4852 0.0000 3.6209 K
4.3650 0.0000 0.5355 In
6.5321 0.0000 4.9937 In

***

KIn3 (PBEsol, optimized geometry); magnetic moment = 0.0 μB/cell; ΔH_f (0 K) = -0.07 eV per atom; raw total energy = -2.59 eV/atom
1.0
2.6535 -2.6597 0.0000
2.6535 2.6597 0.0000
0.0000 0.0000 8.2951
K In
1 3
Cartesian
0.0000 0.0000 0.0000 K
0.0000 0.0000 4.1476 In
2.6535 0.0000 2.4778 In
2.6535 0.0000 5.8173 In

***

KIn (PBEsol, optimized geometry); magnetic moment = 0.0 μB/cell; ΔH_f (0 K) = 0.08 eV per atom; raw total energy = -1.98 eV/atom
1.0
2.2839 -2.5360 0.0000
2.2839 2.5360 0.0000
0.0000 0.0000 5.7485
K In
1 1
Cartesian
0.0000 0.0000 0.0000 K
2.2839 0.0000 2.8743 In

***

> What is the formula in the third record?

KIn